Crystalline Ce3Nd4NpN8 at its relaxed geometry. Source: the Alexandria database, functional PBE.

Lattice parameters (Å, degrees): 7.1647 7.1647 17.5859 90.00 90.00 120.00
Space group R-3m (No. 166, hexagonal axes)
Unique sites:
Ce 0.0000 0.5000 0.0000 x9
Nd 0.0000 0.0000 0.5000 x3
Nd 0.0000 0.5000 0.5000 x9
Np 0.0000 0.0000 0.0000 x3
N 0.0000 0.0000 0.2561 x6
N 0.0141 0.5070 0.7419 x18

Results
Spin magnetization ... 3.01 μB per formula unit
DOS at the Fermi energy ... 0.8064 states/eV per atom
Formation energy from raw total energies ... -2166.3 kJ/mol of formula units
Energy ... -0.638 Ry per atom
Theoretical density ... 8.58 g/cm3
Crystal system ... trigonal